Below is an optimized crystal structure of LiLaPr2Au4, with properties calculated at the PBE level. Values from VASP.

## Properties
The space-group type is R-3m, No. 166. The formation energy comes out at -0.70 eV per atom. As for the crystal system: trigonal.

Quantum ESPRESSO input file:
```
&SYSTEM
  ibrav = 0, nat = 8, ntyp = 4
/
ATOMIC_SPECIES
Li 6.94 Li.upf
La 138.91 La.upf
Pr 140.91 Pr.upf
Au 196.97 Au.upf
ATOMIC_POSITIONS angstrom
Li -2.4447 -0.8159 6.8850
La 0.0000 0.0000 0.0000
Pr -3.7940 -1.2678 10.1305
Pr -1.0954 -0.3641 3.6396
Au -0.7878 -0.2432 9.4564
Au -5.4212 -1.8302 7.6052
Au 0.5318 0.1984 6.1648
Au -4.1016 -1.3886 4.3136
CELL_PARAMETERS angstrom
-4.3659 1.2652 2.5315
-2.6848 -3.6586 2.5449
2.1613 0.7616 8.6937
```